[1]
Here is an optimized crystal structure of AgHgMo from Alexandria via LeMat-Bulk. Energies are from GGA-PBE.

abc: 4.5981 4.5981 4.5981
angles: 60.00 60.00 60.00
Each line ends with the local moment (μB).
Fractional positions:
Ag (0.0000, 0.0000, 0.0000)  0.08
Hg (0.5000, 0.5000, 0.5000)  0.06
Mo (0.7500, 0.7500, 0.7500)  2.38

Calculated values
* excess energy over the best structure of this formula in the dataset: 641 meV/atom
* space group: F-43m

=====

[2]
Here is an optimized crystal structure of BC3I from Alexandria via LeMat-Bulk. Energies are from GGA-PBE.

abc: 4.1564 4.1564 4.1564
angles: 90.00 90.00 90.00
Fractional positions:
C (0.0000, 0.0000, 0.5000)
C (0.0000, 0.5000, 0.0000)
C (0.5000, 0.0000, 0.0000)
B (0.5000, 0.5000, 0.5000)
I (0.0000, 0.0000, 0.0000)

Calculated values
* excess energy over the best structure of this formula in the dataset: 1447 meV/atom
* uncorrected formation energy: 4257.7 meV/atom
* space group: Pm-3m

=====

[3]
Here is an optimized crystal structure of PuTlZn2 from Alexandria via LeMat-Bulk. Energies are from GGA-PBE.

abc: 4.9418 4.9418 4.9418
angles: 60.00 60.00 60.00
Each line ends with the local moment (μB).
Fractional positions:
Zn (0.7500, 0.7500, 0.7500)  0.02
Zn (0.2500, 0.2500, 0.2500)  0.02
Pu (0.0000, 0.0000, 0.0000)  5.37
Tl (0.5000, 0.5000, 0.5000)  -0.03

Calculated values
* excess energy over the best structure of this formula in the dataset: 0 meV/atom
* space group: Fm-3m

=====

[4]
Here is an optimized crystal structure of AsIrAu2 from Alexandria via LeMat-Bulk. Energies are from GGA-PBE.

abc: 4.9714 4.9714 4.9714
angles: 131.05 131.05 71.73
Fractional positions:
Ir (0.5000, 0.5000, 0.0000)
Au (0.0000, 0.0000, 0.0000)
Au (0.2500, 0.7500, 0.5000)
As (0.7500, 0.2500, 0.5000)

Calculated values
* space group: I-4m2

=====

[5]
Here is an optimized crystal structure of CaZn2W from Alexandria via LeMat-Bulk. Energies are from GGA-PBE.

abc: 5.3973 5.3973 5.3973
angles: 136.70 136.70 62.90
Each line ends with the local moment (μB).
Fractional positions:
Zn (0.2500, 0.7500, 0.5000)  -0.01
Zn (0.0000, 0.0000, 0.0000)  0.01
Ca (0.5000, 0.5000, 0.0000)  0.03
W (0.7500, 0.2500, 0.5000)  0.50

Calculated values
* excess energy over the best structure of this formula in the dataset: 339 meV/atom
* space group: I-4m2

=====

[6]
Here is an optimized crystal structure of MgTcTeI2 from Alexandria via LeMat-Bulk. Energies are from GGA-PBE.

abc: 5.6244 5.6244 5.1080
angles: 90.00 90.00 90.00
Each line ends with the local moment (μB).
Fractional positions:
I (0.0000, 0.5000, 0.0000)  0.02
I (0.5000, 0.0000, 0.0000)  0.02
Tc (0.0000, 0.0000, 0.0000)  0.58
Mg (0.5000, 0.5000, 0.5000)  -0.01
Te (0.0000, 0.0000, 0.5000)  -0.02

Calculated values
* excess energy over the best structure of this formula in the dataset: 0 meV/atom
* uncorrected formation energy: 320.8 meV/atom
* space group: P4/mmm

=====

Number 1: density of states at the Fermi level 3.84 states/eV/f.u., calculated total energy -10.589 eV for the cell shown. Number 2: density of states at the Fermi level 3.77 states/eV/f.u., calculated total energy -14.611 eV for the cell shown. Number 3: density of states at the Fermi level 9.74 states/eV/f.u., calculated total energy -19.288 eV for the cell shown. Number 4: density of states at the Fermi level 1.35 states/eV/f.u., calculated total energy -18.644 eV for the cell shown. Number 5: density of states at the Fermi level 3.24 states/eV/f.u., calculated total energy -15.105 eV for the cell shown. Number 6: density of states at the Fermi level 4.81 states/eV/f.u., calculated total energy -16.599 eV for the cell shown.